[1]
DFT (PBE) results for a geometry-optimized HgB3Te structure.

The structure belongs to space group Pm-3m (No. 221); the cell edges are 4.4804, 4.4804 and 4.4804 Å and the angles 90.00°, 90.00° and 90.00°. The asymmetric unit holds Hg at (0.0000, 0.0000, 0.0000), B at (0.0000, 0.0000, 0.5000) and Te at (0.5000, 0.5000, 0.5000).

For the volume, the calculation gives 17.99 A^3/atom. The energy relative to the elements, uncorrected comes out at 2.08 eV per atom. The crystal system is cubic. The calculation puts the density of states at the Fermi level at 0.38 states/eV/atom.



[2]
DFT (PBE) results for a geometry-optimized ReNi2SbW structure.

The structure belongs to space group P4/mmm (No. 123); the cell edges are 4.5005, 4.5005 and 5.0773 Å and the angles 90.00°, 90.00° and 90.00°. The asymmetric unit holds Re at (0.0000, 0.0000, 0.0000), Ni at (0.0000, 0.5000, 0.5000), Sb at (0.5000, 0.5000, 0.0000) and W at (0.5000, 0.5000, 0.5000).

For the volume, the calculation gives 20.57 A^3/atom. The energy relative to the elements, uncorrected comes out at 1.91 eV per atom. The crystal system is tetragonal. The calculation puts the density of states at the Fermi level at 0.99 states/eV/atom.